1.
The following is a PBE-GGA calculation of a relaxed Cu2TeRh crystal, from Alexandria via LeMat-Bulk.

a b c (Å): 3.4914 3.4914 5.1972
angles (deg): 90.00 90.00 89.99
With the nearest neighbours (Å) after each atom.
Atoms (fractional coordinates):
Cu: 0.0000 0.0000 0.4872  2 Cu 2.47-2.73, 4 Rh 2.76
Rh: 0.5000 0.5000 0.2500  2 Te 2.60, 8 Cu 2.76
Cu: 0.0000 0.0000 0.0128  2 Cu 2.47-2.73, 4 Rh 2.76
Te: 0.5000 0.5000 0.7500  2 Rh 2.60, 8 Cu 2.82

Values from the calculation:
- uncorrected formation energy (kJ/mol of atoms) = 14
- crystal system = tetragonal

---

2.
The following is a PBE-GGA calculation of a relaxed KGa2Fe crystal, from Alexandria via LeMat-Bulk.

a b c (Å): 5.6432 5.6432 8.2257
angles (deg): 69.94 69.94 90.00
With the nearest neighbours (Å) after each atom.
Atoms (fractional coordinates):
Fe: 0.7500 0.2500 0.5000  4 Ga 2.29
Ga: 0.8750 0.1250 0.2500  2 Fe 2.29
Ga: 0.8750 0.1250 0.7500  2 Fe 2.29
K: 0.5000 0.5000 0.0000  8 Ga 3.63, 4 Fe 3.99
Fe: 0.0000 0.0000 0.0000  4 Ga 2.29
K: 0.2500 0.7500 0.5000  8 Ga 3.63, 4 Fe 3.99
Ga: 0.8750 0.6250 0.2500  2 Fe 2.29
Ga: 0.3750 0.1250 0.7500  2 Fe 2.29

Values from the calculation:
- DFT total energy (eV per atom) = -3.61
- crystal system = tetragonal

---

3.
The following is a PBE-GGA calculation of a relaxed La2Tb5Sm5 crystal, from Alexandria via LeMat-Bulk.

a b c (Å): 5.1182 10.8663 8.1066
angles (deg): 98.56 71.60 76.38
With the nearest neighbours (Å) after each atom.
Atoms (fractional coordinates):
La: 0.6652 0.4996 0.1699  5 Tb 3.60-3.68, 5 Sm 3.63-3.67, 2 La 3.66
Sm: 0.6701 0.2458 0.4141  3 Sm 3.59-3.63, 7 Tb 3.59-3.65, 2 La 3.63-3.65
Sm: 0.9971 0.7538 0.2519  6 Tb 3.59-3.65, 3 Sm 3.60-3.63, 3 La 3.65-3.67
Tb: 0.0000 0.5000 0.5000  4 La 3.60, 2 Tb 3.65, 6 Sm 3.65
Sm: 0.0000 0.0000 0.0000  4 Sm 3.59-3.60, 8 Tb 3.59-3.62
Tb: 0.6649 0.7537 0.9165  6 Sm 3.59-3.63, 3 Tb 3.60-3.65, 3 La 3.65-3.68
Tb: 0.3339 0.9989 0.3332  8 Sm 3.59-3.62, 4 Tb 3.60-3.62
La: 0.3348 0.5004 0.8301  5 Tb 3.60-3.68, 5 Sm 3.63-3.67, 2 La 3.66
Sm: 0.0029 0.2462 0.7481  6 Tb 3.59-3.65, 3 Sm 3.60-3.63, 3 La 3.65-3.67
Sm: 0.3299 0.7542 0.5859  3 Sm 3.59-3.63, 7 Tb 3.59-3.65, 2 La 3.63-3.65
Tb: 0.3351 0.2463 0.0835  6 Sm 3.59-3.63, 3 Tb 3.60-3.65, 3 La 3.65-3.68
Tb: 0.6661 0.0011 0.6668  8 Sm 3.59-3.62, 4 Tb 3.60-3.62

Values from the calculation:
- DFT total energy (eV per atom) = -4.70
- crystal system = monoclinic

---

4.
The following is a PBE-GGA calculation of a relaxed NdHo2Mn crystal, from Alexandria via LeMat-Bulk.

a b c (Å): 3.4056 3.4056 11.4542
angles (deg): 81.45 81.45 60.00
With the nearest neighbours (Å) after each atom.
Atoms (fractional coordinates):
Ho: 0.8985 0.8985 0.3045  3 Mn 2.96
Nd: 0.0000 0.0000 0.0000  6 Nd 3.41, 2 Ho 3.44
Mn: 0.5000 0.5000 0.5000  6 Ho 2.96
Ho: 0.1015 0.1015 0.6955  3 Mn 2.96

Values from the calculation:
- DFT total energy (eV per atom) = -5.41
- crystal system = trigonal

---

5.
The following is a PBE-GGA calculation of a relaxed Ho3Tl2Cu2 crystal, from Alexandria via LeMat-Bulk.

a b c (Å): 4.2004 3.6366 10.8779
angles (deg): 90.00 78.87 90.00
With the nearest neighbours (Å) after each atom.
Atoms (fractional coordinates):
Cu: 0.2806 0.5000 0.4388  2 Cu 2.47
Tl: 0.5845 0.5000 0.8310  1 Cu 2.88
Tl: 0.4155 0.5000 0.1690  1 Cu 2.88
Ho: 0.1739 0.0000 0.6522  6 Cu 2.91-2.94
Ho: 0.8261 0.0000 0.3478  6 Cu 2.91-2.94
Cu: 0.7194 0.5000 0.5612  2 Cu 2.47
Ho: 0.0000 0.0000 0.0000  8 Tl 3.31, 2 Ho 3.64

Values from the calculation:
- DFT total energy (eV per atom) = -4.13
- crystal system = orthorhombic

---

6.
The following is a PBE-GGA calculation of a relaxed Nd2TlIn3 crystal, from Alexandria via LeMat-Bulk.

a b c (Å): 3.7268 5.0452 8.7586
angles (deg): 90.00 90.00 90.00
With the nearest neighbours (Å) after each atom.
Atoms (fractional coordinates):
Nd: 0.0000 0.0000 0.5011  8 In 3.44-3.50, 4 Tl 3.46, 2 Nd 3.73
In: 0.5000 0.0000 0.1630  1 In 2.90, 2 Tl 2.94
In: 0.5000 0.5000 0.6701  2 In 2.89, 1 Tl 2.94
Nd: 0.0000 0.5000 0.9990  10 In 3.43-3.46, 2 Tl 3.48, 2 Nd 3.73
In: 0.5000 0.0000 0.8318  3 In 2.89-2.90
Tl: 0.5000 0.5000 0.3350  3 In 2.94

Values from the calculation:
- DFT total energy (eV per atom) = -3.75
- crystal system = orthorhombic

---

7.
The following is a PBE-GGA calculation of a relaxed Ba5Na2Pd crystal, from Alexandria via LeMat-Bulk.

a b c (Å): 9.8209 8.4682 10.9999
angles (deg): 90.31 116.51 90.00
With the nearest neighbours (Å) after each atom.
Atoms (fractional coordinates):
Ba: 0.2264 0.7500 0.4520  2 Pd 3.27-3.28
Ba: 0.9990 0.2500 0.0000  4 Na 4.07-4.10, 8 Ba 4.23-4.45
Ba: 0.7736 0.2500 0.5480  2 Pd 3.27-3.28
Na: 0.8492 0.4997 0.2335  8 Ba 3.91-4.32
Ba: 0.5684 0.5019 0.8114  1 Pd 3.18
Ba: 0.7570 0.9981 0.1886  1 Pd 3.18
Na: 0.1509 0.5003 0.7665  8 Ba 3.91-4.32
Ba: 0.4316 0.4981 0.1886  1 Pd 3.18
Na: 0.3843 0.9997 0.2335  8 Ba 3.91-4.32
Ba: 0.7744 0.7500 0.5480  2 Pd 3.27-3.28
Na: 0.6157 0.0003 0.7665  8 Ba 3.91-4.32
Ba: 0.0010 0.7500 0.0000  4 Na 4.07-4.10, 8 Ba 4.23-4.45
Ba: 0.2430 0.0019 0.8114  1 Pd 3.18
Pd: 0.0000 0.0000 0.5000  6 Ba 3.18-3.28
Pd: 0.5000 0.5000 0.5000  6 Ba 3.18-3.28
Ba: 0.2256 0.2500 0.4520  2 Pd 3.27-3.28

Values from the calculation:
- DFT total energy (eV per atom) = -2.31
- crystal system = monoclinic

---

8.
The following is a PBE-GGA calculation of a relaxed SiTc2Hg crystal, from Alexandria via LeMat-Bulk.

a b c (Å): 4.4297 4.4297 3.1179
angles (deg): 90.00 90.00 90.00
With the nearest neighbours (Å) after each atom.
Atoms (fractional coordinates):
Hg: 0.5000 0.0000 0.5000  8 Tc 2.71
Tc: 0.0000 0.0000 0.0000  4 Hg 2.71, 4 Si 2.71
Tc: 0.5000 0.5000 0.0000  4 Si 2.71, 4 Hg 2.71
Si: 0.0000 0.5000 0.5000  8 Tc 2.71

Values from the calculation:
- uncorrected formation energy (kJ/mol of atoms) = 37
- crystal system = tetragonal